Entry 1:
GGA-PBE Ce2ScPaSe5, optimized geometry; DOS(E_F) = 20.51 states/eV/f.u.; formation energy from raw total energies = -1.05 eV per atom; calculated total energy = -6.06 eV per atom; magnetization = 5.1 μB per formula unit
1.0
5.2468 0.0000 0.0000
0.0000 5.2468 0.0000
0.0000 0.0000 10.4278
Ce Sc Pa Se
2 1 1 5
Direct
0.0000 0.0000 0.2029
0.0000 0.0000 0.7971
0.5000 0.5000 0.5000
0.5000 0.5000 0.0000
0.0000 0.0000 0.5000
0.0000 0.5000 0.0000
0.5000 0.0000 0.0000
0.5000 0.5000 0.2628
0.5000 0.5000 0.7372

***

Entry 2:
GGA-PBE CeScPaSn, optimized geometry; DFT formation energy = -55.1 meV/atom; DOS(E_F) = 8.75 states/eV/f.u.; calculated total energy = -6.50 eV per atom; magnetization = 2.4 μB per formula unit
1.0
0.0000 3.6842 3.6842
3.6842 0.0000 3.6842
3.6842 3.6842 0.0000
Ce Sc Pa Sn
1 1 1 1
Direct
0.0000 0.0000 0.0000
0.5000 0.5000 0.5000
0.7500 0.7500 0.7500
0.2500 0.2500 0.2500

***

Entry 3:
GGA-PBE TbCeScPa, optimized geometry; DFT formation energy = 324.9 meV/atom; DOS(E_F) = 13.73 states/eV/f.u.; calculated total energy = -6.27 eV per atom; magnetization = 1.2 μB per formula unit
1.0
0.0000 3.7891 3.7891
3.7891 0.0000 3.7891
3.7891 3.7891 0.0000
Tb Ce Sc Pa
1 1 1 1
Direct
0.0000 0.0000 0.0000
0.7500 0.7500 0.7500
0.2500 0.2500 0.2500
0.5000 0.5000 0.5000

***

Entry 4:
GGA-PBE CeSc2Pa2Tc2, optimized geometry; DFT formation energy = -58.4 meV/atom; DOS(E_F) = 11.58 states/eV/f.u.; calculated total energy = -8.39 eV per atom; magnetization = 0.0 μB per formula unit
1.0
3.9350 -2.3549 0.0000
3.9350 2.3549 0.0000
-2.7344 0.0000 8.5387
Ce Sc Pa Tc
1 2 2 2
Direct
0.0000 0.0000 0.0000
0.1376 0.1376 0.4068
0.8624 0.8624 0.5932
0.3998 0.3998 0.1771
0.6002 0.6002 0.8229
0.2530 0.2530 0.7560
0.7470 0.7470 0.2440

***

Entry 5:
GGA-PBE CeScPaTc, optimized geometry; DFT formation energy = 0.2 meV/atom; DOS(E_F) = 9.06 states/eV/f.u.; calculated total energy = -8.03 eV per atom; magnetization = 0.0 μB per formula unit
1.0
0.0000 3.4754 3.4754
3.4754 0.0000 3.4754
3.4754 3.4754 0.0000
Ce Sc Pa Tc
1 1 1 1
Direct
0.0000 0.0000 0.0000
0.2500 0.2500 0.2500
0.7500 0.7500 0.7500
0.5000 0.5000 0.5000

***

Entry 6:
GGA-PBE CeScPaTi, optimized geometry; DFT formation energy = 314.1 meV/atom; DOS(E_F) = 11.88 states/eV/f.u.; calculated total energy = -7.10 eV per atom; magnetization = 1.3 μB per formula unit
1.0
0.0000 3.6280 3.6280
3.6280 0.0000 3.6280
3.6280 3.6280 0.0000
Ce Sc Pa Ti
1 1 1 1
Direct
0.0000 0.0000 0.0000
0.7500 0.7500 0.7500
0.5000 0.5000 0.5000
0.2500 0.2500 0.2500

***

Entry 7:
GGA-PBE CeScPaTl, optimized geometry; DFT formation energy = 164.7 meV/atom; DOS(E_F) = 9.61 states/eV/f.u.; calculated total energy = -5.87 eV per atom; magnetization = 1.9 μB per formula unit
1.0
0.0000 3.7031 3.7031
3.7031 0.0000 3.7031
3.7031 3.7031 0.0000
Ce Sc Pa Tl
1 1 1 1
Direct
0.0000 0.0000 0.0000
0.5000 0.5000 0.5000
0.7500 0.7500 0.7500
0.2500 0.2500 0.2500

***

Entry 8:
GGA-PBE CeZrScPa, optimized geometry; DFT formation energy = 212.5 meV/atom; DOS(E_F) = 12.17 states/eV/f.u.; calculated total energy = -7.36 eV per atom; magnetization = 0.0 μB per formula unit
1.0
0.0000 3.6703 3.6703
3.6703 0.0000 3.6703
3.6703 3.6703 0.0000
Ce Zr Sc Pa
1 1 1 1
Direct
0.0000 0.0000 0.0000
0.5000 0.5000 0.5000
0.7500 0.7500 0.7500
0.2500 0.2500 0.2500